Entry 1:
Compound: La4MnIn
Source: Alexandria via LeMat-Bulk
Functional: GGA-PBEsol
Structure: relaxed

It has space group F-43m (No. 216), with a = 8.9824 Å, b = 8.9824 Å, c = 8.9824 Å, α = 90.00°, β = 90.00° and γ = 90.00°. The inequivalent atoms are La at (0.1244, 0.1244, 0.1244), Mn at (0.0000, 0.0000, 0.5000) and In at (0.2500, 0.2500, 0.7500).

The formation enthalpy at 0 K comes out at 474 meV per atom.

Entry 2:
Compound: SrAg2Te2
Source: Alexandria via LeMat-Bulk
Functional: GGA-PBEsol
Structure: relaxed

It has space group I4/mmm (No. 139), with a = 4.2163 Å, b = 4.2163 Å, c = 14.8597 Å, α = 90.00°, β = 90.00° and γ = 90.00°. The inequivalent atoms are Sr at (0.0000, 0.0000, 0.0000), Ag at (0.0000, 0.5000, 0.2500) and Te at (0.0000, 0.0000, 0.3808).

Its energy relative to the elements, uncorrected is -664 meV per atom.

Entry 3:
Compound: ReIrCl
Source: Alexandria via LeMat-Bulk
Functional: GGA-PBEsol
Structure: relaxed

It has space group I4mm (No. 107), with a = 2.8267 Å, b = 2.8267 Å, c = 11.9263 Å, α = 90.00°, β = 90.00° and γ = 90.00°. The inequivalent atoms are Re at (0.0000, 0.0000, 0.0000), Ir at (0.0000, 0.0000, 0.3630) and Cl at (0.0000, 0.0000, 0.6428).

Its energy relative to the elements, uncorrected is 464 meV per atom.

Entry 4:
Compound: Li5Cr2Co3O10
Source: Alexandria via LeMat-Bulk
Functional: GGA-PBEsol
Structure: relaxed

It has space group P-1 (No. 2), with a = 4.9133 Å, b = 4.9373 Å, c = 7.4758 Å, α = 71.24°, β = 71.39° and γ = 81.09°. The inequivalent atoms are Li at (0.0000, 0.0000, 0.0000), Li at (0.0903, 0.5118, 0.2921), Li at (0.2812, 0.5015, 0.9097), Cr at (0.3944, 0.0070, 0.1968), Co at (0.1985, 0.0018, 0.6017), Co at (0.5000, 0.5000, 0.5000), O at (0.0527, 0.2292, 0.1661), O at (0.1500, 0.7745, 0.4498), O at (0.2758, 0.2414, 0.7314), O at (0.3670, 0.7695, 0.0486) and O at (0.4610, 0.2303, 0.3678).

Its energy relative to the elements, uncorrected is -1676 meV per atom.

Spin magnetization across the listed records, respectively: 3.93, 0.00, 0.00, 5.95 μB/f.u..
Raw total energy across the listed records, respectively: -5.21, -3.77, -7.92, -6.98 eV/atom.